DFT (GGA+U) results for an optimized crystal structure of Li2FeF4.

```
data_Li2FeF4
_chemical_formula_sum 'Li8 Fe4 F16'
_space_group_name_H-M_alt 'C m c m'
_space_group_IT_number 63
_space_group_name_Hall '-C 2c 2'
_cell_length_a 5.705
_cell_length_b 8.761
_cell_length_c 6.483
_cell_angle_alpha 90.00
_cell_angle_beta 90.00
_cell_angle_gamma 90.00
loop_
_atom_site_label
_atom_site_fract_x
_atom_site_fract_y
_atom_site_fract_z
Li1 0.000 0.000 0.000
Li2 0.000 0.347 0.250
Fe1 0.000 0.331 0.750
F1 0.000 0.228 0.015
F2 0.244 0.495 0.250
```

raw total energy = -0.37217 Ry/atom
crystal system = orthorhombic
distance to the lowest polymorph of the same formula = 88 meV/atom